Computed, not measured: a relaxed structure of LiAgSe2 at the PBE-GGA level of DFT.

E_tot: -3.36 eV per atom
raw formation energy: -0.43 eV per atom
mass density: 5.27 g/cm³

Lattice parameters (Å, degrees): 4.2390 7.4103 7.4103 21.68 90.00 90.00
With the nearest neighbours (Å) after each atom.
Fractional positions:
Li 0.0000 0.0000 0.0000  6 Se 2.70-2.80, 2 Li 2.79
Ag 0.5000 0.2540 0.2540  5 Se 2.66-2.84, 2 Ag 2.79
Se 0.0000 0.6666 0.6666  2 Se 2.79, 2 Li 2.80, 4 Ag 2.84
Se 0.5000 0.4365 0.4365  1 Ag 2.66, 4 Li 2.70, 2 Se 2.79